1.
A relaxed CdCu2Tc crystal. Source: the Alexandria database, functional PBE.

Calculated values
calculated formation energy = 0.306 eV per atom
space-group type = Amm2 (38)

Cell lengths 4.2658, 2.6531, 5.3428 Å; angles 75.58, 90.00, 90.00 degrees
Fractional positions:
Cu 0.0000 0.1869 0.0023
Cu 0.5000 0.0560 0.2638
Cd 0.5000 0.8000 0.7745
Tc 0.0000 0.4571 0.4594

2.
A relaxed PmSm4Ho3 crystal. Source: the Alexandria database, functional PBE.

Calculated values
calculated formation energy = 0.210 eV per atom
offset from the most stable computed form = 186 meV per atom
space-group type = Cmmm (65)

Cell lengths 5.7090, 3.6001, 13.3694 Å; angles 89.97, 102.33, 90.00 degrees
Fractional positions:
Sm 0.2760 0.4992 0.5520
Sm 0.7240 0.5008 0.4480
Sm 0.3954 0.5002 0.7907
Sm 0.6046 0.4998 0.2093
Ho 0.8472 0.9996 0.6943
Ho 0.0000 0.5000 0.0000
Ho 0.1528 0.0004 0.3057
Pm 0.5000 0.0000 0.0000

3.
A relaxed RbLi2Nb2O7 crystal. Source: the Alexandria database, functional PBE.

Calculated values
raw formation energy = -2546 kJ/mol of formula units
space-group type = Imm2 (44)

Cell lengths 4.0194, 4.1495, 9.5838 Å; angles 102.50, 102.10, 90.00 degrees
Last column: magnetic moment on the atom in μB.
Fractional positions:
O 0.5000 0.4939 0.0000  0.31
O 0.8890 0.3824 0.7780  0.15
O 0.6173 0.1069 0.2345  0.10
O 0.1110 0.6043 0.2220  0.15
O 0.3827 0.8724 0.7655  0.10
O 0.2785 0.2671 0.5570  0.05
O 0.7215 0.7101 0.4430  0.05
Nb 0.3819 0.4129 0.7638  -0.06
Nb 0.6181 0.6490 0.2362  -0.06
Rb 0.0000 0.0082 0.0000  0.00
Li 0.7424 0.2387 0.4848  0.00
Li 0.2576 0.7539 0.5152  0.00